Material: Sr3AsPt
Method: DFT, PBE
State: relaxed

Lattice parameters (Å, degrees): 5.7151 5.7151 5.7151 90.00 90.00 90.00
Element x y z (fractional)
Sr 0.0000 0.0000 0.5000
Sr 0.0000 0.5000 0.0000
Pt 0.0000 0.0000 0.0000
Sr 0.5000 0.0000 0.0000
As 0.5000 0.5000 0.5000

Output
The size of the total moment is 0.00 Bohr magnetons per cell. As for the symmetry: No. 221. The polymorph energy (0 for the lowest one) is 0.00 eV per formula unit. The calculation puts the volume at 37.3 Å³ per atom.